(1)
The following is a PBE calculation of a geometry-optimized Ac2NdAg4 structure, from Alexandria via LeMat-Bulk.

Cell: 7.683 7.683 7.683 Å, 136.32 136.32 63.49°
Fractional positions:
Ac: 0.214 0.214 0.000
Ac: 0.786 0.786 0.000
Nd: 0.500 0.500 0.000
Ag: 0.111 0.611 0.500
Ag: 0.389 0.889 0.500
Ag: 0.611 0.111 0.500
Ag: 0.889 0.389 0.500

E_form	-10	kJ per mole of atoms

(2)
The following is a PBE calculation of a geometry-optimized AcNdAg structure, from Alexandria via LeMat-Bulk.

Cell: 7.438 7.402 8.158 Å, 90.00 113.74 90.00°
Fractional positions:
Ac: 0.238 0.165 0.093
Ac: 0.238 0.335 0.593
Ac: 0.762 0.665 0.407
Ac: 0.762 0.835 0.907
Nd: 0.311 0.669 0.980
Nd: 0.311 0.831 0.480
Nd: 0.689 0.169 0.520
Nd: 0.689 0.331 0.020
Ag: 0.078 0.544 0.201
Ag: 0.078 0.956 0.701
Ag: 0.922 0.044 0.299
Ag: 0.922 0.456 0.799

E_form	-6	kJ per mole of atoms
excess energy over the best structure of this formula in the dataset	71	meV per atom

(3)
The following is a PBE calculation of a geometry-optimized AcNd3Ag2 structure, from Alexandria via LeMat-Bulk.

Cell: 3.778 3.778 12.964 Å, 90.00 90.00 90.00°
Fractional positions:
Ac: 0.000 0.000 0.000
Nd: 0.500 0.500 0.213
Nd: 0.500 0.500 0.500
Nd: 0.500 0.500 0.787
Ag: 0.000 0.000 0.356
Ag: 0.000 0.000 0.644

E_form	-14	kJ per mole of atoms
excess energy over the best structure of this formula in the dataset	0	meV per atom

| no. | final energy (eV/cell) | D(E_F) (states/eV per cell) |
| --- | --- | --- |
| 1 | -25.1 | 6.876 |
| 2 | -47.7 | 15.523 |
| 3 | -25.0 | 8.155 |